--- A ---
In2Pb | the Alexandria database | PBE | relaxed; SG = Fmmm (69); calculated density = 8.4 Mg/m³
1.0
-0.0432 -2.4663 -2.3054
3.0863 1.1302 -0.7726
1.5232 -4.1567 6.6435
Pb In
1 2
Cartesian
0.0000 0.0000 0.0000
2.5573 -2.3094 0.1975
2.0089 -3.1834 3.3679



--- B ---
In2Pb | the Alexandria database | PBE | relaxed; SG = Fd-3m (227); calculated density = 8.3 Mg/m³
1.0
6.2786 0.0000 0.0000
3.1393 5.4374 0.0000
3.1393 1.8125 5.1264
In Pb
4 2
Cartesian
6.2786 3.6249 2.5632
4.7089 2.7187 0.0000
1.5696 2.7187 0.0000
3.1393 0.0000 0.0000
3.1393 1.8125 3.2040
9.4179 5.4374 1.9224



Most stable of them? A.



--- A ---
In2Pb | the Alexandria database | PBE | relaxed; SG = P-3m1 (164); calculated density = 8.4 Mg/m³
1.0
3.4995 0.0000 0.0000
-1.7497 3.0306 0.0000
0.0000 0.0000 8.1644
In Pb
2 1
Cartesian
0.0000 2.0204 2.7941
1.7497 1.0102 5.3703
0.0000 0.0000 0.0000



--- B ---
In2Pb | the Alexandria database | PBE | relaxed; SG = P6/mmm (191); calculated density = 8.4 Mg/m³
1.0
5.3634 0.0000 0.0000
-2.6817 4.6448 0.0000
0.0000 0.0000 3.4754
In Pb
2 1
Cartesian
2.6817 1.5483 1.7377
0.0000 3.0966 1.7377
0.0000 0.0000 0.0000



--- C ---
In2Pb | the Alexandria database | PBE | relaxed; SG = Cmcm (63); calculated density = 8.4 Mg/m³
1.0
7.6633 -0.0444 0.0000
-6.3543 4.2839 0.0000
0.0000 0.0000 5.2890
Pb In
2 4
Cartesian
6.4930 0.3170 1.3223
-5.1840 3.9225 3.9668
4.1969 1.0259 3.9668
-2.8879 3.2135 1.3223
-0.5819 2.5015 3.9668
1.8910 1.7379 1.3223



Most stable of them? C.



--- A ---
InPd8Pb2 | the Alexandria database | PBE | relaxed; SG = C2/m (12); calculated density = 11.9 Mg/m³
1.0
-2.4676 -2.8710 -1.7582
4.8732 -4.3157 0.2075
-2.6925 0.9244 7.2243
Pd Pb In
8 2 1
Cartesian
-3.5819 -3.0608 5.0707
-0.1223 -5.2576 3.8021
1.8896 -5.5739 1.4949
-0.1646 -1.0047 1.8716
0.3042 -3.4855 0.3099
3.2951 -3.2014 0.6030
-2.1765 -0.6883 4.1787
-0.5911 -2.7767 5.3638
1.5705 -3.0700 2.8089
-1.8574 -3.1922 2.8648
-1.2338 -1.4355 -0.8791



--- B ---
InPd8Pb2 | the Alexandria database | PBE | relaxed; SG = Immm (71); calculated density = 11.6 Mg/m³
1.0
3.9220 0.0000 -1.1936
-1.1659 6.7451 -3.8309
0.1654 -0.2256 7.5835
Pd Pb In
8 2 1
Cartesian
-0.7098 4.8373 4.7080
-0.2908 1.6822 -0.9554
0.7438 3.7875 2.4439
2.4112 5.4791 0.8824
1.5972 6.0902 -1.7922
0.5103 1.0404 1.6766
2.1776 2.7321 0.1151
1.3243 0.4293 4.3512
-0.0896 4.3785 -0.2944
3.0110 2.1410 2.8534
1.9610 0.0000 -0.5968



Most stable of them? B.